1.
Entry from Alexandria via LeMat-Bulk: a geometry-optimized FePCl2 structure (GGA-PBEsol).

Size of the total moment = 2.83 μB per formula unit
Offset from the most stable computed form = 0.0 meV/atom
Electronic total energy = -4.385 eV/atom

Unit cell a=3.130 b=3.130 c=8.641 alpha=90.00 beta=90.00 gamma=122.60
Sites, in units of the cell vectors:
Fe 0.000 0.000 0.000
P 0.000 0.000 0.500
Cl 0.500 0.500 0.200
Cl 0.500 0.500 0.800

=====

2.
Entry from Alexandria via LeMat-Bulk: a geometry-optimized FePCl2 structure (GGA-PBEsol).

Size of the total moment = 3.14 μB per formula unit
Offset from the most stable computed form = 41.6 meV/atom
Electronic total energy = -4.343 eV/atom

Unit cell a=4.207 b=4.207 c=3.872 alpha=90.00 beta=90.00 gamma=95.44
Sites, in units of the cell vectors:
Fe 0.000 0.000 0.000
P 0.500 0.500 0.000
Cl 0.228 0.772 0.500
Cl 0.772 0.228 0.500

=====

3.
Entry from Alexandria via LeMat-Bulk: a geometry-optimized FeP2Cl structure (GGA-PBEsol).

Size of the total moment = 0.00 μB per formula unit
Offset from the most stable computed form = 0.0 meV/atom
Electronic total energy = -5.653 eV/atom

Unit cell a=6.805 b=6.805 c=6.805 alpha=27.65 beta=27.65 gamma=27.65
Sites, in units of the cell vectors:
Fe 0.000 0.000 0.000
P 0.273 0.273 0.273
P 0.727 0.727 0.727
Cl 0.500 0.500 0.500